[1]
Entry from Alexandria: crystalline Zn2CdIr at its relaxed geometry (PBE-GGA).

Structure (CIF):
```
data_Zn2CdIr
_cell_length_a 2.970
_cell_length_b 3.840
_cell_length_c 5.653
_cell_angle_alpha 90.00
_cell_angle_beta 90.00
_cell_angle_gamma 90.00
_space_group_name_H-M_alt 'P m m 2'
_space_group_IT_number 25
_space_group_name_Hall 'P 2 -2'
loop_
_atom_site_label
_atom_site_type_symbol
_atom_site_fract_x
_atom_site_fract_y
_atom_site_fract_z
Zn1 Zn 0.000 0.000 0.000
Zn2 Zn 0.500 0.500 0.257
Cd1 Cd 0.000 0.000 0.521
Ir1 Ir 0.500 0.500 0.800
```

Results
Fermi-level density of states (states/eV per cell): 2.3
ΔH_f (0 K) (eV/atom): 0.0136
V (Å³/atom): 16.11

[2]
Entry from Alexandria: crystalline Ba2SiAu at its relaxed geometry (PBE-GGA).

Structure (CIF):
```
data_Ba2SiAu
_cell_length_a 6.814
_cell_length_b 6.814
_cell_length_c 17.201
_cell_angle_alpha 90.00
_cell_angle_beta 90.00
_cell_angle_gamma 90.00
_space_group_name_H-M_alt 'I -4 2 d'
_space_group_IT_number 122
_space_group_name_Hall 'I -4 2bw'
loop_
_atom_site_label
_atom_site_type_symbol
_atom_site_fract_x
_atom_site_fract_y
_atom_site_fract_z
Ba1 Ba 0.238 0.250 0.125
Si1 Si 0.000 0.000 0.000
Au1 Au 0.000 0.000 0.500
```

Results
Fermi-level density of states (states/eV per cell): 14.9
Uncorrected formation energy (meV/atom): 9
V (Å³/atom): 49.91

[3]
Entry from Alexandria: crystalline Dy3CdAu4 at its relaxed geometry (PBE-GGA).

Structure (CIF):
```
data_Dy3CdAu4
_cell_length_a 4.988
_cell_length_b 4.988
_cell_length_c 7.193
_cell_angle_alpha 90.00
_cell_angle_beta 90.00
_cell_angle_gamma 90.00
_space_group_name_H-M_alt 'P 4/m m m'
_space_group_IT_number 123
_space_group_name_Hall '-P 4 2'
loop_
_atom_site_label
_atom_site_type_symbol
_atom_site_fract_x
_atom_site_fract_y
_atom_site_fract_z
Dy1 Dy 0.000 0.000 0.000
Dy2 Dy 0.000 0.000 0.500
Dy3 Dy 0.500 0.500 0.000
Cd1 Cd 0.500 0.500 0.500
Au1 Au 0.000 0.500 0.245
```

Results
Fermi-level density of states (states/eV per cell): 4.3
ΔH_f (0 K) (eV/atom): -0.7430
V (Å³/atom): 22.37

[4]
Entry from Alexandria: crystalline PuZrNp at its relaxed geometry (PBE-GGA).

Structure (CIF):
```
data_PuZrNp
_cell_length_a 4.7377
_cell_length_b 4.7377
_cell_length_c 22.4017
_cell_angle_alpha 90.00
_cell_angle_beta 90.00
_cell_angle_gamma 120.00
_space_group_name_H-M_alt 'R -3 m'
_space_group_IT_number 166
_space_group_name_Hall '-R 3 2"'
loop_
_atom_site_label
_atom_site_type_symbol
_atom_site_fract_x
_atom_site_fract_y
_atom_site_fract_z
Pu1 Pu 0.0000 0.0000 0.2167
Zr1 Zr 0.0000 0.0000 0.0663
Np1 Np 0.0000 0.0000 0.3286
```

Results
Fermi-level density of states (states/eV per cell): 40.7
ΔH_f (0 K) (eV/atom): 0.4441
V (Å³/atom): 24.19

[5]
Entry from Alexandria: crystalline YCdGe at its relaxed geometry (PBE-GGA).

Structure (CIF):
```
data_YCdGe
_cell_length_a 4.197
_cell_length_b 17.162
_cell_length_c 3.927
_cell_angle_alpha 90.00
_cell_angle_beta 90.00
_cell_angle_gamma 90.00
_space_group_name_H-M_alt 'C m c m'
_space_group_IT_number 63
_space_group_name_Hall '-C 2c 2'
loop_
_atom_site_label
_atom_site_type_symbol
_atom_site_fract_x
_atom_site_fract_y
_atom_site_fract_z
Y1 Y 0.000 0.090 0.250
Cd1 Cd 0.000 0.281 0.250
Ge1 Ge 0.000 0.448 0.250
```

Results
Fermi-level density of states (states/eV per cell): 8.7
ΔH_f (0 K) (eV/atom): -0.5059
V (Å³/atom): 23.57

[6]
Entry from Alexandria: crystalline RbSe2N at its relaxed geometry (PBE-GGA).

Structure (CIF):
```
data_RbSe2N
_cell_length_a 5.8206
_cell_length_b 5.8206
_cell_length_c 18.4996
_cell_angle_alpha 90.00
_cell_angle_beta 90.00
_cell_angle_gamma 120.00
_space_group_name_H-M_alt 'R -3 m'
_space_group_IT_number 166
_space_group_name_Hall '-R 3 2"'
loop_
_atom_site_label
_atom_site_type_symbol
_atom_site_fract_x
_atom_site_fract_y
_atom_site_fract_z
Rb1 Rb 0.0000 0.0000 0.0000
Se1 Se 0.0000 0.0000 0.4052
N1 N 0.0000 0.0000 0.5000
```

Results
Fermi-level density of states (states/eV per cell): 0.0
Uncorrected formation energy (meV/atom): 266
V (Å³/atom): 45.23

[7]
Entry from Alexandria: crystalline Te3RhC at its relaxed geometry (PBE-GGA).

Structure (CIF):
```
data_Te3RhC
_cell_length_a 4.675
_cell_length_b 4.675
_cell_length_c 4.675
_cell_angle_alpha 90.00
_cell_angle_beta 90.00
_cell_angle_gamma 90.00
_space_group_name_H-M_alt 'P m -3 m'
_space_group_IT_number 221
_space_group_name_Hall '-P 4 2 3'
loop_
_atom_site_label
_atom_site_type_symbol
_atom_site_fract_x
_atom_site_fract_y
_atom_site_fract_z
Te1 Te 0.000 0.000 0.500
Rh1 Rh 0.500 0.500 0.500
C1 C 0.000 0.000 0.000
```

Results
Fermi-level density of states (states/eV per cell): 4.4
Uncorrected formation energy (meV/atom): 1155
V (Å³/atom): 20.44

[8]
Entry from Alexandria: crystalline CdTePb2 at its relaxed geometry (PBE-GGA).

Structure (CIF):
```
data_CdTePb2
_cell_length_a 7.808
_cell_length_b 7.808
_cell_length_c 7.808
_cell_angle_alpha 90.00
_cell_angle_beta 90.00
_cell_angle_gamma 90.00
_space_group_name_H-M_alt 'F -4 3 m'
_space_group_IT_number 216
_space_group_name_Hall 'F -4 2 3'
loop_
_atom_site_label
_atom_site_type_symbol
_atom_site_fract_x
_atom_site_fract_y
_atom_site_fract_z
Cd1 Cd 0.000 0.000 0.000
Te1 Te 0.250 0.250 0.250
Pb1 Pb 0.000 0.000 0.500
Pb2 Pb 0.250 0.250 0.750
```

Results
Fermi-level density of states (states/eV per cell): 12.6
Uncorrected formation energy (meV/atom): 59
V (Å³/atom): 29.75

> What is the V in the second record?

49.91 Å³/atom

> Fermi-level density of states of number 2 (Ba2SiAu)?

14.9 states/eV per cell

> Among the records above, which one has the highest Fermi-level density of states?

PuZrNp

> What is the formula in the eighth record?

CdTePb2